Ca2PmHg3 | PBE | optimized geometry

* SG: P4/mmm, No. 123

```
6
Lattice="3.814 0.000 0.000 0.000 3.814 0.000 0.000 0.000 11.320" Properties=species:S:1:pos:R:3 pbc="T T T"
Hg 0.000 0.000 0.000
Hg 0.000 0.000 7.527
Hg 0.000 0.000 3.793
Ca 1.907 1.907 1.876
Ca 1.907 1.907 9.444
Pm 1.907 1.907 5.660
```



AlZn2Cu2 | PBE | optimized geometry

* SG: P4/mbm, No. 127

```
10
Lattice="7.065 0.000 0.000 0.000 7.065 0.000 0.000 0.000 2.837" Properties=species:S:1:pos:R:3 pbc="T T T"
Zn 4.731 5.866 1.419
Zn 1.198 4.731 1.419
Zn 5.866 2.334 1.419
Zn 2.334 1.198 1.419
Al 0.000 0.000 0.000
Al 3.532 3.532 0.000
Cu 4.438 0.906 0.000
Cu 6.159 4.438 0.000
Cu 2.627 6.159 0.000
Cu 0.906 2.627 0.000
```



Mn2NbTc | PBE | optimized geometry

* SG: Fm-3m, No. 225

```
4
Lattice="0.000 3.008 3.008 3.008 0.000 3.008 3.008 3.008 0.000" Properties=species:S:1:pos:R:3 pbc="T T T"
Tc 3.008 3.008 3.008
Nb 0.000 0.000 0.000
Mn 1.504 1.504 1.504
Mn 4.512 4.512 4.512
```



Dy5YHo8 | PBE | optimized geometry

* SG: I-4, No. 82

```
14
Lattice="7.998 0.000 -2.545 -4.088 6.723 -2.923 0.177 0.000 8.392" Properties=species:S:1:pos:R:3 pbc="T T T"
Dy 4.088 0.000 2.923
Dy 2.055 0.669 7.072
Dy 3.268 6.054 -3.265
Dy 3.859 4.557 1.938
Dy -1.007 2.166 0.102
Y 0.089 3.361 4.196
Ho 7.133 0.561 2.941
Ho 1.739 1.757 1.933
Ho 4.846 1.702 0.203
Ho 3.883 2.654 4.870
Ho -1.697 4.966 -1.903
Ho 1.001 6.162 2.876
Ho -2.329 5.021 1.597
Ho 1.776 4.069 -0.823
```



Rb7BrO12 | PBE | optimized geometry

* SG: R-3, No. 148

```
20
Lattice="-8.643 -0.084 -1.706 4.998 1.197 -7.157 2.659 -6.687 5.083" Properties=species:S:1:pos:R:3 pbc="T T T"
O 0.244 -3.575 1.785
O -2.687 -0.860 -2.840
O 2.449 -0.655 -3.098
O -0.838 -3.786 0.993
O -1.231 -1.999 -5.564
O 2.363 -1.916 -2.602
O -0.149 -1.788 -4.773
O 1.700 -4.715 -0.939
O 2.534 -5.133 -1.925
O -3.521 -0.442 -1.854
O -3.350 -3.659 -1.177
O -3.436 -4.919 -0.681
Rb -5.976 -2.262 -1.283
Rb 2.419 -5.797 1.738
Rb -3.051 -5.202 2.391
Rb -0.493 -2.787 -1.890
Rb 2.064 -0.372 -6.171
Rb 4.989 -3.312 -2.496
Rb -3.406 0.222 -5.517
Br 0.000 0.000 0.000
```



BaCd2I6 | PBE | optimized geometry

* SG: R3, No. 146

```
9
Lattice="-6.722 0.727 4.422 -5.122 -6.217 0.616 0.093 -4.508 8.263" Properties=species:S:1:pos:R:3 pbc="T T T"
I -4.437 -8.007 6.968
I -4.630 -4.785 3.515
I -7.226 -1.923 6.273
I -3.139 -3.586 7.970
I -7.155 -5.321 9.730
I -8.705 -6.344 5.383
Ba -3.910 -1.855 1.741
Cd -8.894 -7.444 9.843
Cd -6.793 -4.391 5.156
```



VASP energy readings, ordered: -0.1572 -0.2135 -0.7048 -0.3285 -0.3150 -0.1733 Ry/atom
Spin magnetization readings, ordered: 0.0 0.0 0.0 0.0 6.0 0.0 μB per formula unit